# Pr3AgHg5

A geometry-optimized Pr3AgHg5 structure (GGA-PBE, Alexandria).

Properties
magnetization	0.000	μB per cell
E_form	-0.40	eV/atom
theoretical density	10.7	Mg/m³

a b c (Å): 6.482 9.209 9.208
angles (deg): 120.00 90.00 90.00
Positions (direct):
Pr 0.250 0.000 0.358
Pr 0.750 0.000 0.642
Pr 0.750 0.642 0.000
Pr 0.250 0.358 0.000
Pr 0.250 0.642 0.642
Pr 0.750 0.358 0.358
Hg 0.500 0.333 0.667
Hg 0.000 0.333 0.667
Hg 0.250 0.302 0.302
Hg 0.750 0.000 0.302
Hg 0.250 0.698 0.000
Hg 0.000 0.667 0.333
Hg 0.250 0.000 0.698
Hg 0.500 0.667 0.333
Hg 0.750 0.302 0.000
Hg 0.750 0.698 0.698
Ag 0.000 0.000 0.000
Ag 0.500 0.000 0.000



# Pr2Ag3Hg5

A geometry-optimized Pr2Ag3Hg5 structure (GGA-PBE, Alexandria).

Properties
magnetization	0.000	μB per cell
E_form	-0.18	eV/atom
theoretical density	10.8	Mg/m³

a b c (Å): 6.108 9.517 9.517
angles (deg): 87.84 71.28 71.28
Positions (direct):
Ag 0.131 0.227 0.511
Ag 0.869 0.773 0.489
Ag 0.250 0.000 0.000
Ag 0.750 0.000 0.000
Ag 0.631 0.511 0.227
Ag 0.369 0.489 0.773
Hg 0.109 0.043 0.739
Hg 0.508 0.242 0.242
Hg 0.750 0.500 0.500
Hg 0.609 0.739 0.043
Hg 0.008 0.242 0.242
Hg 0.492 0.758 0.758
Hg 0.992 0.758 0.758
Hg 0.391 0.261 0.957
Hg 0.250 0.500 0.500
Hg 0.891 0.957 0.261
Pr 0.627 0.136 0.610
Pr 0.873 0.390 0.864
Pr 0.373 0.864 0.390
Pr 0.127 0.610 0.136



# Pr5Ag2Hg

A geometry-optimized Pr5Ag2Hg structure (GGA-PBE, Alexandria).

Properties
magnetization	0.000	μB per cell
E_form	-0.20	eV/atom
theoretical density	7.6	Mg/m³

a b c (Å): 7.744 7.744 9.795
angles (deg): 113.28 113.28 90.00
Positions (direct):
Pr 0.183 0.012 0.696
Pr 0.317 0.817 0.304
Pr 0.500 0.500 0.000
Pr 0.988 0.488 0.304
Pr 0.512 0.683 0.696
Pr 0.817 0.988 0.304
Pr 0.683 0.183 0.696
Pr 0.000 0.000 0.000
Pr 0.488 0.317 0.304
Pr 0.012 0.512 0.696
Ag 0.628 0.128 0.000
Ag 0.128 0.372 0.000
Ag 0.372 0.872 0.000
Ag 0.872 0.628 0.000
Hg 0.750 0.750 0.500
Hg 0.250 0.250 0.500



# Pr4Ag2Hg3

A geometry-optimized Pr4Ag2Hg3 structure (GGA-PBE, Alexandria).

Properties
magnetization	0.000	μB per cell
E_form	-0.31	eV/atom
theoretical density	9.4	Mg/m³

a b c (Å): 5.286 5.286 10.063
angles (deg): 90.01 90.02 60.00
Positions (direct):
Ag 0.333 0.333 0.796
Ag 0.667 0.667 0.204
Pr 0.667 0.667 0.886
Pr 0.000 0.000 0.337
Pr 0.333 0.333 0.114
Pr 0.000 0.000 0.663
Hg 0.000 0.000 0.000
Hg 0.333 0.333 0.473
Hg 0.667 0.667 0.527



# Pr3Ag4Hg

A geometry-optimized Pr3Ag4Hg structure (GGA-PBE, Alexandria).

Properties
magnetization	0.000	μB per cell
E_form	-0.11	eV/atom
theoretical density	7.8	Mg/m³

a b c (Å): 4.123 7.394 8.468
angles (deg): 115.89 104.09 90.00
Positions (direct):
Pr 0.000 0.500 0.000
Pr 0.179 0.179 0.357
Pr 0.821 0.821 0.643
Ag 0.634 0.442 0.268
Ag 0.634 0.825 0.268
Ag 0.366 0.175 0.732
Ag 0.366 0.558 0.732
Hg 0.500 0.000 0.000



# Pr8AgHg2

A geometry-optimized Pr8AgHg2 structure (GGA-PBE, Alexandria).

Properties
magnetization	0.000	μB per cell
E_form	-0.18	eV/atom
energy above the most stable polymorph in this dataset	0.021	eV/atom
theoretical density	7.7	Mg/m³

a b c (Å): 5.359 7.187 9.848
angles (deg): 103.74 105.79 90.00
Positions (direct):
Pr 0.800 0.687 0.601
Pr 0.979 0.233 0.958
Pr 0.590 0.459 0.181
Pr 0.200 0.313 0.399
Pr 0.338 0.027 0.676
Pr 0.021 0.767 0.042
Pr 0.662 0.973 0.324
Pr 0.410 0.541 0.819
Hg 0.185 0.733 0.369
Hg 0.815 0.267 0.631
Ag 0.500 0.000 0.000



# Pr6AgHg

A geometry-optimized Pr6AgHg structure (GGA-PBE, Alexandria).

Properties
magnetization	0.000	μB per cell
E_form	-0.17	eV/atom
energy above the most stable polymorph in this dataset	0.000	eV/atom
theoretical density	7.5	Mg/m³

a b c (Å): 5.328 5.328 9.799
angles (deg): 74.22 74.22 90.00
Positions (direct):
Pr 0.608 0.108 0.783
Pr 0.250 0.250 0.499
Pr 0.892 0.392 0.217
Pr 0.392 0.892 0.217
Pr 0.750 0.750 0.501
Pr 0.108 0.608 0.783
Ag 0.000 0.000 0.000
Hg 0.500 0.500 0.000



# PrAg2Hg

A geometry-optimized PrAg2Hg structure (GGA-PBE, Alexandria).

Properties
magnetization	0.000	μB per cell
E_form	-0.23	eV/atom
theoretical density	9.8	Mg/m³

a b c (Å): 4.864 3.504 11.209
angles (deg): 98.99 90.00 90.00
Positions (direct):
Ag 0.750 0.469 0.938
Ag 0.250 0.268 0.536
Ag 0.250 0.531 0.062
Ag 0.750 0.732 0.464
Pr 0.750 0.095 0.190
Pr 0.250 0.905 0.810
Hg 0.750 0.339 0.677
Hg 0.250 0.661 0.323



# Pr3Ag2Hg4

A geometry-optimized Pr3Ag2Hg4 structure (GGA-PBE, Alexandria).

Properties
magnetization	0.000	μB per cell
E_form	-0.40	eV/atom
energy above the most stable polymorph in this dataset	0.000	eV/atom
theoretical density	10.5	Mg/m³

a b c (Å): 5.006 6.139 9.327
angles (deg): 116.60 90.00 114.06
Positions (direct):
Hg 0.058 0.117 0.388
Hg 0.942 0.883 0.612
Hg 0.284 0.568 0.945
Hg 0.716 0.432 0.055
Ag 0.392 0.783 0.723
Ag 0.608 0.217 0.277
Pr 0.667 0.334 0.665
Pr 0.000 0.000 0.000
Pr 0.333 0.666 0.335



# Pr4AgHg

A geometry-optimized Pr4AgHg structure (GGA-PBE, Alexandria).

Properties
magnetization	0.000	μB per cell
E_form	-0.09	eV/atom
energy above the most stable polymorph in this dataset	0.133	eV/atom
theoretical density	7.9	Mg/m³

a b c (Å): 6.273 9.621 6.298
angles (deg): 90.00 104.55 90.00
Positions (direct):
Pr 0.583 0.842 0.092
Pr 0.093 0.838 0.588
Pr 0.417 0.158 0.908
Pr 0.407 0.338 0.412
Pr 0.907 0.162 0.412
Pr 0.593 0.662 0.588
Pr 0.083 0.658 0.092
Pr 0.917 0.342 0.908
Hg 0.500 0.500 0.000
Hg 0.000 0.000 0.000
Ag 0.000 0.500 0.500
Ag 0.500 0.000 0.500



# PrAgHg6

A geometry-optimized PrAgHg6 structure (GGA-PBE, Alexandria).

Properties
magnetization	0.000	μB per cell
E_form	-0.04	eV/atom
energy above the most stable polymorph in this dataset	0.094	eV/atom
theoretical density	10.4	Mg/m³

a b c (Å): 8.722 8.722 6.139
angles (deg): 44.74 44.74 60.00
Positions (direct):
Hg 0.540 0.172 0.116
Hg 0.828 0.828 0.884
Hg 0.172 0.172 0.116
Hg 0.828 0.460 0.884
Hg 0.460 0.828 0.884
Hg 0.172 0.540 0.116
Pr 0.000 0.000 0.000
Ag 0.500 0.500 0.500



# Pr4AgHg

A geometry-optimized Pr4AgHg structure (GGA-PBE, Alexandria).

Properties
magnetization	1.311	μB per cell
E_form	-0.22	eV/atom
energy above the most stable polymorph in this dataset	0.000	eV/atom
theoretical density	7.8	Mg/m³

a b c (Å): 3.800 3.800 12.859
angles (deg): 90.00 90.00 90.00
Last column: magnetic moment on the atom in μB.
Positions (direct):
Pr 0.000 0.000 0.346  0.15
Pr 0.500 0.500 0.854  0.15
Pr 0.000 0.000 0.654  0.15
Pr 0.500 0.500 0.146  0.15
Ag 0.000 0.000 0.000  0.01
Hg 0.500 0.500 0.500  -0.01



# PrAg2Hg6

A geometry-optimized PrAg2Hg6 structure (GGA-PBE, Alexandria).

Properties
magnetization	0.001	μB per cell
E_form	-0.06	eV/atom
theoretical density	12.0	Mg/m³

a b c (Å): 3.411 8.639 8.639
angles (deg): 60.77 78.40 78.40
Positions (direct):
Pr 0.000 0.000 0.000
Hg 0.324 0.350 0.007
Hg 0.324 0.007 0.350
Hg 0.500 0.668 0.332
Hg 0.676 0.650 0.993
Hg 0.500 0.332 0.668
Hg 0.676 0.993 0.650
Ag 0.853 0.643 0.643
Ag 0.147 0.357 0.357



# PrAg4Hg4

A geometry-optimized PrAg4Hg4 structure (GGA-PBE, Alexandria).

Properties
magnetization	0.000	μB per cell
E_form	-0.06	eV/atom
theoretical density	11.0	Mg/m³

a b c (Å): 6.311 6.311 10.376
angles (deg): 90.00 90.00 90.00
Positions (direct):
Hg 0.760 0.500 0.224
Hg 0.260 0.000 0.276
Hg 0.000 0.740 0.724
Hg 0.740 0.000 0.276
Hg 0.240 0.500 0.224
Hg 0.500 0.760 0.776
Hg 0.500 0.240 0.776
Hg 0.000 0.260 0.724
Pr 0.000 0.000 0.000
Pr 0.500 0.500 0.500
Ag 0.000 0.716 0.439
Ag 0.284 0.000 0.561
Ag 0.000 0.284 0.439
Ag 0.784 0.500 0.939
Ag 0.500 0.784 0.061
Ag 0.216 0.500 0.939
Ag 0.500 0.216 0.061
Ag 0.716 0.000 0.561



# Pr3Ag3Hg

A geometry-optimized Pr3Ag3Hg structure (GGA-PBE, Alexandria).

Properties
magnetization	0.000	μB per cell
E_form	-0.29	eV/atom
theoretical density	8.5	Mg/m³

a b c (Å): 4.875 3.642 10.901
angles (deg): 99.62 102.92 90.00
Positions (direct):
Pr 0.003 0.003 0.005
Pr 0.306 0.806 0.612
Pr 0.692 0.192 0.384
Ag 0.857 0.357 0.713
Ag 0.141 0.641 0.283
Ag 0.568 0.568 0.137
Hg 0.434 0.434 0.867



# Pr2Ag6Hg

A geometry-optimized Pr2Ag6Hg structure (GGA-PBE, Alexandria).

Properties
magnetization	0.000	μB per cell
E_form	-0.17	eV/atom
theoretical density	9.1	Mg/m³

a b c (Å): 6.073 6.248 6.248
angles (deg): 59.98 89.99 89.99
Positions (direct):
Pr 0.842 0.667 0.667
Pr 0.158 0.333 0.333
Ag 0.666 0.183 0.635
Ag 0.666 0.183 0.183
Ag 0.666 0.635 0.183
Ag 0.334 0.817 0.817
Ag 0.334 0.365 0.817
Ag 0.334 0.817 0.365
Hg 0.000 0.000 0.000



# Pr3Ag2Hg4

A geometry-optimized Pr3Ag2Hg4 structure (GGA-PBE, Alexandria).

Properties
magnetization	0.000	μB per cell
E_form	-0.37	eV/atom
energy above the most stable polymorph in this dataset	0.028	eV/atom
theoretical density	10.3	Mg/m³

a b c (Å): 5.320 5.440 9.289
angles (deg): 96.82 90.00 119.27
Positions (direct):
Ag 0.723 0.447 0.397
Ag 0.277 0.553 0.603
Hg 0.055 0.110 0.353
Hg 0.945 0.890 0.647
Hg 0.680 0.360 0.081
Hg 0.320 0.640 0.919
Pr 0.376 0.751 0.280
Pr 0.000 0.000 0.000
Pr 0.624 0.249 0.720



# Pr12Ag6Hg

A geometry-optimized Pr12Ag6Hg structure (GGA-PBE, Alexandria).

Properties
magnetization	0.000	μB per cell
E_form	-0.09	eV/atom
theoretical density	7.8	Mg/m³

a b c (Å): 9.103 9.103 9.103
angles (deg): 111.13 111.13 111.13
Positions (direct):
Hg 0.000 0.000 0.000
Pr 0.177 0.740 0.115
Pr 0.523 0.806 0.658
Pr 0.885 0.823 0.260
Pr 0.477 0.194 0.342
Pr 0.115 0.177 0.740
Pr 0.342 0.477 0.194
Pr 0.658 0.523 0.806
Pr 0.806 0.658 0.523
Pr 0.823 0.260 0.885
Pr 0.260 0.885 0.823
Pr 0.740 0.115 0.177
Pr 0.194 0.342 0.477
Ag 0.652 0.950 0.422
Ag 0.348 0.050 0.578
Ag 0.578 0.348 0.050
Ag 0.950 0.422 0.652
Ag 0.422 0.652 0.950
Ag 0.050 0.578 0.348



# Pr2Ag5Hg

A geometry-optimized Pr2Ag5Hg structure (GGA-PBE, Alexandria).

Properties
magnetization	0.000	μB per cell
E_form	-0.19	eV/atom
theoretical density	8.9	Mg/m³

a b c (Å): 4.260 9.089 10.122
angles (deg): 90.00 90.00 103.55
Positions (direct):
Ag 0.363 0.725 0.973
Ag 0.637 0.275 0.473
Ag 0.797 0.594 0.106
Ag 0.619 0.238 0.750
Ag 0.797 0.594 0.394
Ag 0.203 0.406 0.894
Ag 0.203 0.406 0.606
Ag 0.363 0.725 0.527
Ag 0.637 0.275 0.027
Ag 0.381 0.762 0.250
Hg 0.539 0.079 0.250
Hg 0.461 0.921 0.750
Pr 0.812 0.623 0.750
Pr 0.000 0.000 0.000
Pr 0.000 0.000 0.500
Pr 0.188 0.377 0.250



# Pr3Ag9Hg2

A geometry-optimized Pr3Ag9Hg2 structure (GGA-PBE, Alexandria).

Properties
magnetization	0.000	μB per cell
E_form	-0.19	eV/atom
theoretical density	9.3	Mg/m³

a b c (Å): 4.742 8.794 8.794
angles (deg): 67.55 74.36 74.36
Positions (direct):
Pr 0.000 0.000 0.000
Pr 0.300 0.700 0.700
Pr 0.700 0.300 0.300
Hg 0.500 0.305 0.695
Hg 0.500 0.695 0.305
Ag 0.000 0.500 0.500
Ag 0.133 0.149 0.586
Ag 0.133 0.586 0.149
Ag 0.670 0.969 0.691
Ag 0.330 0.031 0.309
Ag 0.867 0.414 0.851
Ag 0.330 0.309 0.031
Ag 0.670 0.691 0.969
Ag 0.867 0.851 0.414